(1)
First-principles (PBE) data for a relaxed Pr4TlPb crystal, as listed in the Alexandria database.

abc: 5.3931 5.3931 7.6567
angles: 90.00 90.00 90.00
Space group P4/mmm (No. 123)
Symmetry-distinct sites (fractional):
Pr  0.0000  0.5000  0.2444 x4
Tl  0.0000  0.0000  0.0000 x1
Pb  0.5000  0.5000  0.5000 x1

## Properties
Formation enthalpy at 0 K: -98 kJ/mol of formula units
E: -4.3688 eV/atom
Distance to the lowest polymorph of the same formula: 0.000 eV per atom
Fermi-level density of states: 10.07 states/eV/cell



(2)
First-principles (PBE) data for a relaxed ZrGaOsPd crystal, as listed in the Alexandria database.

abc: 6.4117 6.4117 6.4117
angles: 90.00 90.00 90.00
Space group F-43m (No. 216)
Symmetry-distinct sites (fractional):
Zr  0.0000  0.0000  0.0000 x4
Ga  0.0000  0.0000  0.5000 x4
Os  0.2500  0.2500  0.2500 x4
Pd  0.2500  0.2500  0.7500 x4

## Properties
Formation enthalpy at 0 K: -170 kJ/mol of formula units
E: -7.4408 eV/atom
Fermi-level density of states: 11.68 states/eV/cell



(3)
First-principles (PBE) data for a relaxed Ac4AlGe crystal, as listed in the Alexandria database.

abc: 7.8276 7.8587 7.8399
angles: 90.00 90.93 90.00
Space group P2_1/c (No. 14)
Symmetry-distinct sites (fractional):
Ac  0.1602  0.1677  0.1730 x4
Ac  0.3329  0.6612  0.1551 x4
Al  0.5000  0.0000  0.0000 x2
Ge  0.0000  0.0000  0.5000 x2

## Properties
Formation enthalpy at 0 K: -97 kJ/mol of formula units
E: -4.2999 eV/atom
Fermi-level density of states: 15.75 states/eV/cell



(4)
First-principles (PBE) data for a relaxed CeNpSnHg crystal, as listed in the Alexandria database.

abc: 7.6161 7.6161 7.6161
angles: 90.00 90.00 90.00
Space group F-43m (No. 216)
Symmetry-distinct sites (fractional):
Ce  0.0000  0.0000  0.0000 x4
Np  0.0000  0.0000  0.5000 x4
Sn  0.2500  0.2500  0.2500 x4
Hg  0.2500  0.2500  0.7500 x4

## Properties
Formation enthalpy at 0 K: -40 kJ/mol of formula units
E: -5.8979 eV/atom
Fermi-level density of states: 53.78 states/eV/cell



(5)
First-principles (PBE) data for a relaxed GeTe3Os crystal, as listed in the Alexandria database.

abc: 5.2364 5.2364 5.2364
angles: 90.00 90.00 90.00
Space group Pm-3m (No. 221)
Symmetry-distinct sites (fractional):
Ge  0.0000  0.0000  0.0000 x1
Te  0.0000  0.5000  0.5000 x3
Os  0.5000  0.5000  0.5000 x1

## Properties
Formation energy from raw total energies: 0.802 eV/atom
E: -4.2523 eV/atom
Distance to the lowest polymorph of the same formula: 0.000 eV per atom
Fermi-level density of states: 6.83 states/eV/cell



(6)
First-principles (PBE) data for a relaxed BaBeAs2Se crystal, as listed in the Alexandria database.

abc: 4.6571 4.6571 5.3224
angles: 90.00 90.00 90.00
Space group P4/mmm (No. 123)
Symmetry-distinct sites (fractional):
Ba  0.0000  0.0000  0.0000 x1
Be  0.5000  0.5000  0.5000 x1
As  0.0000  0.5000  0.5000 x2
Se  0.5000  0.5000  0.0000 x1

## Properties
Formation energy from raw total energies: -0.363 eV/atom
E: -4.0493 eV/atom
Distance to the lowest polymorph of the same formula: 0.000 eV per atom
Fermi-level density of states: 2.82 states/eV/cell



(7)
First-principles (PBE) data for a relaxed KCa2Re crystal, as listed in the Alexandria database.

abc: 3.9414 3.9414 9.1091
angles: 90.00 90.00 90.00
Space group P4mm (No. 99)
Symmetry-distinct sites (fractional):
K  0.0000  0.0000  0.0000 x1
Ca  0.0000  0.0000  0.3817 x1
Ca  0.5000  0.5000  0.6164 x1
Re  0.5000  0.5000  0.2765 x1

## Properties
Formation enthalpy at 0 K: 397 kJ/mol of formula units
E: -3.3592 eV/atom
Distance to the lowest polymorph of the same formula: 0.337 eV per atom
Fermi-level density of states: 4.74 states/eV/cell



(8)
First-principles (PBE) data for a relaxed GaSn2IrI crystal, as listed in the Alexandria database.

abc: 5.2597 5.2597 4.8904
angles: 90.00 90.00 90.00
Space group P4/mmm (No. 123)
Symmetry-distinct sites (fractional):
Ga  0.0000  0.0000  0.0000 x1
Sn  0.0000  0.5000  0.5000 x2
Ir  0.0000  0.0000  0.5000 x1
I  0.5000  0.5000  0.0000 x1

## Properties
Formation energy from raw total energies: -0.203 eV/atom
E: -4.4914 eV/atom
Fermi-level density of states: 2.36 states/eV/cell